First-principles (PBE) data for a relaxed structure of KTc2Au, as listed in Alexandria via LeMat-Bulk.

The space group is P2/m (No. 10) and the conventional cell measures 2.677, 5.450 and 5.198 Å, with angles of 90.00, 94.18 and 90.00 degrees. The distinct sites, in fractional coordinates, are K at (0.000, 0.000, 0.000), Tc at (0.385, 0.500, 0.765) and Au at (0.500, 0.000, 0.500).

The value obtained for the distance to the lowest polymorph of the same formula is 0.591 eV per atom. The formation energy comes out at 1016 meV/atom.

=====

First-principles (PBE) data for a relaxed structure of Li3Nb4TlO12, as listed in Alexandria via LeMat-Bulk.

The space group is Im-3 (No. 204) and the conventional cell measures 7.777, 7.777 and 7.777 Å, with angles of 90.00, 90.00 and 90.00 degrees. The distinct sites, in fractional coordinates, are Li at (0.000, 0.000, 0.500), Nb at (0.250, 0.250, 0.250), Tl at (0.000, 0.000, 0.000) and O at (0.000, 0.197, 0.302).

Its formation energy from raw total energies is -2292 meV/atom.

=====

First-principles (PBE) data for a relaxed structure of H2RuO, as listed in Alexandria via LeMat-Bulk.

The space group is Fd-3m (No. 227, origin choice 2) and the conventional cell measures 6.104, 6.104 and 6.104 Å, with angles of 90.00, 90.00 and 90.00 degrees. The distinct sites, in fractional coordinates, are H at (0.000, 0.000, 0.000), Ru at (0.125, 0.125, 0.625) and O at (0.125, 0.125, 0.125).

The value obtained for the distance to the lowest polymorph of the same formula is 0.000 eV per atom.

=====

First-principles (PBE) data for a relaxed structure of SbBrCl2, as listed in Alexandria via LeMat-Bulk.

The space group is Cmmm (No. 65) and the conventional cell measures 6.236, 8.624 and 3.497 Å, with angles of 90.00, 90.00 and 90.00 degrees. The distinct sites, in fractional coordinates, are Sb at (0.000, 0.000, 0.000), Br at (0.000, 0.500, 0.000) and Cl at (0.250, 0.250, 0.500).

Its formation energy from raw total energies is 137 meV/atom. The value obtained for the distance to the lowest polymorph of the same formula is 0.910 eV per atom.

=====

First-principles (PBE) data for a relaxed structure of KTl2AsCl6, as listed in Alexandria via LeMat-Bulk.

The space group is R-3 (No. 148, hexagonal axes) and the conventional cell measures 7.9389, 7.9389 and 17.8272 Å, with angles of 90.00, 90.00 and 120.00 degrees. The distinct sites, in fractional coordinates, are K at (0.0000, 0.0000, 0.0000), Tl at (0.0000, 0.0000, 0.2755), As at (0.0000, 0.0000, 0.5000) and Cl at (0.0459, 0.7672, 0.5826).

Its formation energy from raw total energies is -1074 meV/atom.

=====

First-principles (PBE) data for a relaxed structure of KNaCaCl4, as listed in Alexandria via LeMat-Bulk.

The space group is Imma (No. 74) and the conventional cell measures 8.427, 8.549 and 12.443 Å, with angles of 90.00, 90.00 and 90.00 degrees. The distinct sites, in fractional coordinates, are K at (0.000, 0.250, 0.114), Na at (0.000, 0.000, 0.500), Ca at (0.250, 0.250, 0.750), Cl at (0.000, 0.036, 0.743) and Cl at (0.220, 0.250, 0.531).

Its formation energy from raw total energies is -2091 meV/atom.

=====

First-principles (PBE) data for a relaxed structure of SmGdErRu, as listed in Alexandria via LeMat-Bulk.

The space group is F-43m (No. 216) and the conventional cell measures 7.339, 7.339 and 7.339 Å, with angles of 90.00, 90.00 and 90.00 degrees. The distinct sites, in fractional coordinates, are Sm at (0.000, 0.000, 0.000), Gd at (0.000, 0.000, 0.500), Er at (0.250, 0.250, 0.750) and Ru at (0.250, 0.250, 0.250).

The formation energy comes out at 121 meV/atom.

=====

First-principles (PBE) data for a relaxed structure of La4Ge2Sb, as listed in Alexandria via LeMat-Bulk.

The space group is I4/mmm (No. 139) and the conventional cell measures 6.096, 6.096 and 14.476 Å, with angles of 90.00, 90.00 and 90.00 degrees. The distinct sites, in fractional coordinates, are La at (0.000, 0.000, 0.220), La at (0.000, 0.500, 0.000), Ge at (0.000, 0.000, 0.416) and Sb at (0.000, 0.000, 0.000).

Its formation energy from raw total energies is -444 meV/atom. The value obtained for the distance to the lowest polymorph of the same formula is 0.488 eV per atom.

=====

First-principles (PBE) data for a relaxed structure of LiTl2BiI6, as listed in Alexandria via LeMat-Bulk.

The space group is P2_1/c (No. 14) and the conventional cell measures 8.029, 8.586 and 14.075 Å, with angles of 90.00, 124.21 and 90.00 degrees. The distinct sites, in fractional coordinates, are Li at (0.000, 0.000, 0.000), Tl at (0.209, 0.097, 0.746), Bi at (0.500, 0.000, 0.500), I at (0.129, 0.194, 0.447), I at (0.261, 0.690, 0.448) and I at (0.358, 0.019, 0.244).

Its formation energy from raw total energies is -669 meV/atom.

=====

First-principles (PBE) data for a relaxed structure of Mg6AlSn, as listed in Alexandria via LeMat-Bulk.

The space group is Amm2 (No. 38) and the conventional cell measures 5.031, 6.294 and 11.203 Å, with angles of 90.00, 90.00 and 90.00 degrees. The distinct sites, in fractional coordinates, are Mg at (0.000, 0.000, 0.000), Mg at (0.000, 0.246, 0.746), Mg at (0.500, 0.000, 0.166), Mg at (0.500, 0.248, 0.916), Al at (0.500, 0.000, 0.682) and Sn at (0.000, 0.000, 0.496).

The value obtained for the distance to the lowest polymorph of the same formula is 0.042 eV per atom. The formation energy comes out at -17 meV/atom.

=====

First-principles (PBE) data for a relaxed structure of Pm4Tl5Cu2, as listed in Alexandria via LeMat-Bulk.

The space group is P2/m (No. 10) and the conventional cell measures 8.013, 3.788 and 9.726 Å, with angles of 90.00, 93.25 and 90.00 degrees. The distinct sites, in fractional coordinates, are Pm at (0.197, 0.000, 0.351), Pm at (0.221, 0.000, 0.924), Tl at (0.145, 0.500, 0.640), Tl at (0.448, 0.500, 0.163), Tl at (0.500, 0.500, 0.500) and Cu at (0.070, 0.500, 0.123).

The formation energy comes out at -268 meV/atom.

=====

First-principles (PBE) data for a relaxed structure of Sr2IrC2, as listed in Alexandria via LeMat-Bulk.

The space group is Ibam (No. 72) and the conventional cell measures 8.648, 10.109 and 5.227 Å, with angles of 90.00, 90.00 and 90.00 degrees. The distinct sites, in fractional coordinates, are Sr at (0.191, 0.136, 0.000), Ir at (0.000, 0.500, 0.250) and C at (0.137, 0.400, 0.000).

The formation energy comes out at 361 meV/atom.

=====

Quick rundown of E_tot, same order as above: -21.044; -153.718; -19.718; -8.939; -32.294; -26.440; -32.153; -36.175; -26.519; -17.446; -41.977; -28.867 eV per formula unit
Quick rundown of spin magnetization, same order as above: 0.00; 0.00; 0.00; 0.00; 0.00; 0.00; 7.38; 0.00; 0.00; 0.00; 0.00; 0.00 μB/f.u.